Entry from Alexandria: Fe2OF3 after structural relaxation (GGA+U).

The calculation puts the mass density at 4.33 g/cm³. Its calculated total energy is -0.207 Ha/atom. The value obtained for the energy above the most stable polymorph in this dataset is 0.156 eV/atom.

The space group is C2/m (No. 12) and the conventional cell measures 9.561, 6.227 and 10.483 Å, with angles of 90.00, 114.68 and 90.00 degrees. The distinct sites, in fractional coordinates, are Fe at (0.000, 0.000, 0.000), Fe at (0.000, 0.500, 0.000), Fe at (0.124, 0.246, 0.750), Fe at (0.240, 0.500, 0.517), O at (0.080, 0.000, 0.840), O at (0.165, 0.500, 0.663), F at (0.073, 0.500, 0.850), F at (0.096, 0.248, 0.397), F at (0.156, 0.251, 0.104) and F at (0.179, 0.000, 0.642).